# PBE with a Hubbard U AcNbCo2O6, optimized geometry
# raw total energy	-75.548	eV/f.u.
# crystal system	triclinic
data_AcNbCo2O6
_symmetry_space_group_name_H-M 'P 1'
_symmetry_Int_Tables_number 1
_cell_length_a 5.4939
_cell_length_b 5.4960
_cell_length_c 5.8130
_cell_angle_alpha 118.17
_cell_angle_beta 90.14
_cell_angle_gamma 119.72
loop_
_symmetry_equiv_pos_as_xyz
'x,y,z'
loop_
_atom_site_label
_atom_site_fract_x
_atom_site_fract_y
_atom_site_fract_z
Ac1 0.0000 0.0000 0.0000
Nb1 0.4713 0.9441 0.4214
Co1 0.2690 0.5313 0.8034
Co2 0.7726 0.5442 0.3191
O1 0.0686 0.6620 0.1151
O2 0.1945 0.7257 0.5847
O3 0.4505 0.5167 0.1195
O4 0.5252 0.3811 0.5827
O5 0.5958 0.0427 0.1165
O6 0.8548 0.0511 0.5843